No. 1
Entry from Alexandria via LeMat-Bulk: Ga2OsRu after structural relaxation (PBE-GGA).

Summary:
crystal system: tetragonal
DFT formation energy: -0.096 eV/atom
raw total energy: -6.7358 eV per atom
magnetic moment: 0.0 μB/f.u.

a b c (Å): 3.029 4.304 4.304
angles (deg): 90.00 90.00 90.00
Sites, in units of the cell vectors:
Ru1 0.500 0.000 0.000
Os1 0.500 0.500 0.500
Ga1 0.000 0.000 0.500
Ga2 0.000 0.500 0.000

=====

No. 2
Entry from Alexandria via LeMat-Bulk: GaOsRu after structural relaxation (PBE-GGA).

Summary:
crystal system: monoclinic
energy above the lowest structure with this stoichiometry: 44 meV/atom
DFT formation energy: -0.050 eV/atom
raw total energy: -7.8938 eV per atom
magnetic moment: 0.0 μB/f.u.

a b c (Å): 4.431 2.861 6.901
angles (deg): 90.00 100.23 90.00
Sites, in units of the cell vectors:
Ga1 0.173 0.250 0.643
Ga2 0.827 0.750 0.357
Os1 0.759 0.250 0.034
Os2 0.241 0.750 0.966
Ru1 0.319 0.250 0.295
Ru2 0.681 0.750 0.705

=====

No. 3
Entry from Alexandria via LeMat-Bulk: GaOs2Ru after structural relaxation (PBE-GGA).

Summary:
crystal system: tetragonal
DFT formation energy: 1.313 eV/atom
raw total energy: -7.3776 eV per atom
magnetic moment: 0.0 μB/f.u.

a b c (Å): 5.651 5.651 6.714
angles (deg): 65.11 65.11 90.00
Sites, in units of the cell vectors:
Ru1 0.000 0.000 0.000
Ru2 0.750 0.250 0.500
Os1 0.639 0.125 0.250
Os2 0.111 0.625 0.250
Os3 0.375 0.361 0.750
Os4 0.875 0.889 0.750
Ga1 0.500 0.500 0.000
Ga2 0.250 0.750 0.500

=====

No. 4
Entry from Alexandria via LeMat-Bulk: GaOsRu after structural relaxation (PBE-GGA).

Summary:
crystal system: monoclinic
energy above the lowest structure with this stoichiometry: 97 meV/atom
DFT formation energy: 0.003 eV/atom
raw total energy: -7.8412 eV per atom
magnetic moment: 0.0 μB/f.u.

a b c (Å): 7.175 2.821 9.643
angles (deg): 90.00 116.15 90.00
Sites, in units of the cell vectors:
Ga1 0.342 0.000 0.870
Ga2 0.658 0.000 0.130
Ga3 0.342 0.500 0.370
Ga4 0.658 0.500 0.630
Os1 0.035 0.000 0.380
Os2 0.965 0.000 0.620
Os3 0.035 0.500 0.880
Os4 0.965 0.500 0.120
Ru1 0.702 0.000 0.870
Ru2 0.298 0.000 0.130
Ru3 0.702 0.500 0.370
Ru4 0.298 0.500 0.630

=====

No. 5
Entry from Alexandria via LeMat-Bulk: GaOsRu after structural relaxation (PBE-GGA).

Summary:
crystal system: monoclinic
energy above the lowest structure with this stoichiometry: 393 meV/atom
DFT formation energy: 0.299 eV/atom
raw total energy: -7.5453 eV per atom
magnetic moment: 0.0 μB/f.u.

a b c (Å): 4.318 4.266 5.629
angles (deg): 90.00 99.02 90.00
Sites, in units of the cell vectors:
Ru1 0.806 0.750 0.777
Ru2 0.194 0.250 0.223
Os1 0.677 0.250 0.005
Os2 0.323 0.750 0.995
Ga1 0.763 0.250 0.508
Ga2 0.237 0.750 0.492

=====

No. 6
Entry from Alexandria via LeMat-Bulk: GaOsRu after structural relaxation (PBE-GGA).

Summary:
crystal system: monoclinic
energy above the lowest structure with this stoichiometry: 67 meV/atom
DFT formation energy: -0.028 eV/atom
raw total energy: -7.8717 eV per atom
magnetic moment: 0.0 μB/f.u.

a b c (Å): 4.588 2.810 6.928
angles (deg): 90.00 105.69 90.00
Sites, in units of the cell vectors:
Ga1 0.026 0.250 0.324
Ga2 0.974 0.750 0.676
Os1 0.262 0.250 0.012
Os2 0.738 0.750 0.988
Ru1 0.456 0.250 0.663
Ru2 0.544 0.750 0.337

=====

No. 7
Entry from Alexandria via LeMat-Bulk: GaSiOs2Ru after structural relaxation (PBE-GGA).

Summary:
crystal system: tetragonal
raw total energy: -6.1001 eV per atom
uncorrected formation energy: 1937 meV/atom
magnetic moment: 0.0 μB/f.u.

a b c (Å): 4.464 4.358 4.464
angles (deg): 90.00 90.00 90.00
Sites, in units of the cell vectors:
Ru1 0.500 0.500 0.500
Si1 0.000 0.500 0.000
Os1 0.000 0.000 0.500
Os2 0.500 0.000 0.000
Ga1 0.000 0.000 0.000

=====

No. 8
Entry from Alexandria via LeMat-Bulk: GaSiOsRu after structural relaxation (PBE-GGA).

Summary:
crystal system: cubic
raw total energy: -7.5460 eV per atom
uncorrected formation energy: -307 meV/atom
magnetic moment: 0.0 μB/f.u.

a b c (Å): 4.231 4.231 4.231
angles (deg): 60.00 60.00 60.00
Sites, in units of the cell vectors:
Ru1 0.500 0.500 0.500
Si1 0.750 0.750 0.750
Os1 0.000 0.000 0.000
Ga1 0.250 0.250 0.250

=====

No. 9
Entry from Alexandria via LeMat-Bulk: SmGa4OsRu2 after structural relaxation (PBE-GGA).

Summary:
crystal system: trigonal
DFT formation energy: -0.296 eV/atom
raw total energy: -6.1222 eV per atom
magnetic moment: 0.0 μB/f.u.

a b c (Å): 4.259 4.259 9.008
angles (deg): 76.33 76.33 60.00
Sites, in units of the cell vectors:
Sm1 0.000 0.000 0.000
Ga1 0.402 0.402 0.795
Ga2 0.868 0.868 0.396
Ga3 0.132 0.132 0.604
Ga4 0.598 0.598 0.205
Os1 0.500 0.500 0.500
Ru1 0.763 0.763 0.711
Ru2 0.237 0.237 0.289

=====

No. 10
Entry from Alexandria via LeMat-Bulk: GaTcOs2Ru after structural relaxation (PBE-GGA).

Summary:
crystal system: tetragonal
DFT formation energy: 1.960 eV/atom
raw total energy: -7.0654 eV per atom
magnetic moment: 1.5 μB/f.u.

a b c (Å): 4.745 4.754 4.745
angles (deg): 90.00 90.00 90.00
Last column: magnetic moment on the atom in μB.
Sites, in units of the cell vectors:
Ru1 0.000 0.500 0.000  0.59
Os1 0.000 0.000 0.500  0.60
Os2 0.500 0.000 0.000  0.37
Tc1 0.000 0.000 0.000  -0.06
Ga1 0.500 0.500 0.500  0.01

=====

No. 11
Entry from Alexandria via LeMat-Bulk: TmGa4OsRu2 after structural relaxation (PBE-GGA).

Summary:
crystal system: trigonal
DFT formation energy: -0.296 eV/atom
raw total energy: -6.0907 eV per atom
magnetic moment: 0.0 μB/f.u.

a b c (Å): 4.242 4.242 8.742
angles (deg): 75.96 75.96 60.00
Sites, in units of the cell vectors:
Tm1 0.000 0.000 0.000
Ga1 0.398 0.398 0.806
Ga2 0.869 0.869 0.394
Ga3 0.131 0.131 0.606
Ga4 0.602 0.602 0.194
Os1 0.500 0.500 0.500
Ru1 0.759 0.759 0.723
Ru2 0.241 0.241 0.277

=====

No. 12
Entry from Alexandria via LeMat-Bulk: UGaOsRu after structural relaxation (PBE-GGA).

Summary:
crystal system: cubic
DFT formation energy: -0.179 eV/atom
raw total energy: -8.8845 eV per atom
magnetic moment: 1.3 μB/f.u.

a b c (Å): 4.590 4.590 4.590
angles (deg): 60.00 60.00 60.00
Last column: magnetic moment on the atom in μB.
Sites, in units of the cell vectors:
Os1 0.500 0.500 0.500  -0.10
U1 0.250 0.250 0.250  1.41
Ga1 0.750 0.750 0.750  0.00
Ru1 0.000 0.000 0.000  -0.08